Entry 1:
Compound: Pm6DyEr6
Source: Alexandria via LeMat-Bulk
Functional: PBE
Structure: optimized geometry

The structure in CIF format:
```
data_Pm6DyEr6
_space_group_name_H-M_alt 'P 6/m m m'
_space_group_IT_number 191
_space_group_name_Hall '-P 6 2'
_cell_length_a 6.7077
_cell_length_b 6.7077
_cell_length_c 11.3668
_cell_angle_alpha 90.00
_cell_angle_beta 90.00
_cell_angle_gamma 120.00
loop_
_atom_site_label
_atom_site_type_symbol
_atom_site_fract_x
_atom_site_fract_y
_atom_site_fract_z
_atom_site_occupancy
Pm1 Pm 0.0000 0.0000 0.1575 1
Pm2 Pm 0.3333 0.6667 0.0000 1
Pm3 Pm 0.3333 0.6667 0.5000 1
Dy1 Dy 0.0000 0.0000 0.5000 1
Er1 Er 0.0000 0.5000 0.2548 1
```

***

Entry 2:
# CsK3Au PBE optimized geometry
data_CsK3Au
_space_group_name_H-M_alt 'P 1 21/m 1'
_space_group_IT_number 11
_space_group_name_Hall '-P 2yb'
_cell_length_a 10.897
_cell_length_b 5.003
_cell_length_c 13.050
_cell_angle_alpha 90.00
_cell_angle_beta 114.14
_cell_angle_gamma 90.00
loop_
_atom_site_label
_atom_site_type_symbol
_atom_site_fract_x
_atom_site_fract_y
_atom_site_fract_z
_atom_site_occupancy
Cs1 Cs 0.239 0.250 0.439 1
K1 K 0.075 0.250 0.896 1
K2 K 0.299 0.750 0.784 1
K3 K 0.367 0.750 0.143 1
Au1 Au 0.419 0.250 0.981 1
# Polymorph energy (0 for the lowest one): 0.000 eV per formula unit

***

Entry 3:
Compound: Er8MgTl2
Source: Alexandria via LeMat-Bulk
Functional: PBE
Structure: optimized geometry

The structure in CIF format:
```
data_Er8MgTl2
_space_group_name_H-M_alt 'C 1 2/m 1'
_space_group_IT_number 12
_space_group_name_Hall '-C 2y'
_cell_length_a 8.803
_cell_length_b 14.905
_cell_length_c 5.519
_cell_angle_alpha 90.00
_cell_angle_beta 114.52
_cell_angle_gamma 90.00
loop_
_atom_site_label
_atom_site_type_symbol
_atom_site_fract_x
_atom_site_fract_y
_atom_site_fract_z
_atom_site_occupancy
Er1 Er 0.000 0.216 0.000 1
Er2 Er 0.101 0.500 0.804 1
Er3 Er 0.213 0.114 0.616 1
Mg1 Mg 0.000 0.000 0.000 1
Tl1 Tl 0.000 0.304 0.500 1
```

***

Entry 4:
# MnZn2Hg2 PBE optimized geometry
data_MnZn2Hg2
_space_group_name_H-M_alt 'P 4/m b m'
_space_group_IT_number 127
_space_group_name_Hall '-P 4 2ab'
_cell_length_a 7.439
_cell_length_b 7.439
_cell_length_c 3.589
_cell_angle_alpha 90.00
_cell_angle_beta 90.00
_cell_angle_gamma 90.00
loop_
_atom_site_label
_atom_site_type_symbol
_atom_site_fract_x
_atom_site_fract_y
_atom_site_fract_z
_atom_site_occupancy
Mn1 Mn 0.000 0.000 0.000 1
Zn1 Zn 0.152 0.348 0.500 1
Hg1 Hg 0.151 0.651 0.000 1
# Polymorph energy (0 for the lowest one): 0.289 eV per formula unit

***

Number 1: VASP energy -56.954 eV per formula unit, energy of formation from the pure elements 0.271 eV per atom. Number 2: VASP energy -8.039 eV per formula unit, energy of formation from the pure elements -0.123 eV per atom. Number 3: VASP energy -42.836 eV per formula unit, energy of formation from the pure elements -0.001 eV per atom. Number 4: VASP energy -10.606 eV per formula unit, energy of formation from the pure elements 0.343 eV per atom.